(1)
This record from the Alexandria database describes crystalline NiAg at its relaxed geometry. The functional is GGA-PBE.

extended XYZ file:
```
4
Lattice="-1.4593 -0.8553 -2.1624 1.8718 -1.6569 1.1349 -6.1904 -3.2509 5.4635" Properties=species:S:1:pos:R:3 pbc="T T T"
Ag 0.0000 0.0000 0.0000
Ag -3.0952 -1.6255 2.7318
Ni -0.7862 -2.2025 1.4017
Ni -4.9918 -3.5607 3.0344
```

Values from the calculation:
Energy relative to the elements (eV/atom): 0.302
Fermi-level density of states (states/eV/f.u.): 2.84
Final energy (eV/atom): -4.0148
Space group: P6_3/mmc

=====

(2)
This record from the Alexandria database describes crystalline NiAg at its relaxed geometry. The functional is GGA-PBE.

extended XYZ file:
```
4
Lattice="2.7381 0.0000 0.0000 1.3691 7.8166 0.0000 0.0000 0.0000 2.7690" Properties=species:S:1:pos:R:3 pbc="T T T"
Ag 2.7381 6.5548 0.6923
Ag 1.3691 1.2619 2.0768
Ni 2.7381 3.1981 0.6923
Ni 1.3691 4.6186 2.0768
```

Values from the calculation:
Energy relative to the elements (eV/atom): 0.214
Fermi-level density of states (states/eV/f.u.): 2.31
Final energy (eV/atom): -4.1022
Space group: Cmcm

=====

(3)
This record from the Alexandria database describes crystalline Ni3Ag at its relaxed geometry. The functional is GGA-PBE.

extended XYZ file:
```
4
Lattice="5.0257 0.0060 -0.0041 2.4092 4.4106 0.0041 -3.1388 -3.1824 2.2974" Properties=species:S:1:pos:R:3 pbc="T T T"
Ag 0.0000 0.0000 0.0000
Ni 1.6183 1.7921 1.1507
Ni 3.7175 2.2083 0.0000
Ni 2.6778 -0.5579 1.1466
```

Values from the calculation:
Energy relative to the elements (eV/atom): 0.264
Fermi-level density of states (states/eV/f.u.): 5.68
Final energy (eV/atom): -4.7845
Space group: Immm

=====

(4)
This record from the Alexandria database describes crystalline NiAg at its relaxed geometry. The functional is GGA-PBE.

extended XYZ file:
```
2
Lattice="-0.5957 3.3464 -2.1134 -2.1706 -0.1153 -3.3608 -3.6287 1.6860 -0.0975" Properties=species:S:1:pos:R:3 pbc="T T T"
Ag 0.0000 0.0000 0.0000
Ni -1.5988 1.2293 -1.3929
```

Values from the calculation:
Energy relative to the elements (eV/atom): 1.349
Fermi-level density of states (states/eV/f.u.): 6.19
Final energy (eV/atom): -2.9669
Space group: F-43m

=====

(5)
This record from the Alexandria database describes crystalline NiAg at its relaxed geometry. The functional is GGA-PBE.

extended XYZ file:
```
12
Lattice="-0.0354 -1.7875 -2.0428 10.7394 -1.4998 1.1263 -1.0991 -4.7405 4.1671" Properties=species:S:1:pos:R:3 pbc="T T T"
Ni 8.9784 -4.8922 2.3215
Ni 0.4940 -3.7074 1.4317
Ni 4.1582 -1.7721 -0.3252
Ni 6.4132 -2.0870 -0.0888
Ni -0.3348 -1.4441 1.2695
Ni 4.4854 -4.5643 3.9162
Ag 1.7422 -4.2443 3.6837
Ag 7.2002 -5.0065 4.2561
Ag 7.6614 -2.6239 2.1632
Ag 2.3800 -1.8863 1.6094
Ag -1.0527 -5.3579 2.9027
Ag 4.8666 -3.7375 1.3823
```

Values from the calculation:
Energy relative to the elements (eV/atom): 0.363
Fermi-level density of states (states/eV/f.u.): 2.49
Final energy (eV/atom): -3.9529
Space group: Amm2

=====

(6)
This record from the Alexandria database describes crystalline NiAg4 at its relaxed geometry. The functional is GGA-PBE.

extended XYZ file:
```
5
Lattice="-1.2912 -3.8001 -2.9252 -0.1142 0.6324 4.9246 -3.5124 3.2566 -1.3123" Properties=species:S:1:pos:R:3 pbc="T T T"
Ni 0.0000 0.0000 0.0000
Ag -2.4881 -1.3467 0.1204
Ag -2.4296 1.4357 0.5668
Ag -3.6374 0.4716 -1.8095
Ag -1.2804 -0.3827 2.4966
```

Values from the calculation:
Energy relative to the elements (eV/atom): 0.167
Fermi-level density of states (states/eV/f.u.): 2.36
Final energy (eV/atom): -3.2707
E above lowest polymorph (kJ/mol of formula units): 0
Space group: I4/m

=====

(7)
This record from the Alexandria database describes crystalline Ni3Ag at its relaxed geometry. The functional is GGA-PBE.

extended XYZ file:
```
4
Lattice="-3.9940 0.4643 -2.0544 -3.2603 -1.4737 2.7544 3.3895 2.9102 0.6557" Properties=species:S:1:pos:R:3 pbc="T T T"
Ag 0.0000 0.0000 0.0000
Ni -1.7490 0.4659 1.8800
Ni -3.6271 -0.5047 0.3500
Ni -2.1158 1.4349 -0.5243
```

Values from the calculation:
Energy relative to the elements (eV/atom): 0.242
Fermi-level density of states (states/eV/f.u.): 5.89
Final energy (eV/atom): -4.8072
Space group: I4/mmm

=====

- The lowest final energy belongs to which entry?
  number 7

=====

- Among the records above, which one has the lowest final energy?
  number 7

=====

- Among the records above, which one has the lowest energy relative to the elements?
  NiAg4